VASP calculation (PBE-GGA) on a geometry-optimized SiAg2Ru structure.

Results
**E**: -4.6056 eV/atom
**DOS at the Fermi energy**: 2.1 states/eV/cell
**Formation energy from raw total energies**: 495 meV/atom
**Crystal system**: orthorhombic

abc: 2.7838 2.7838 9.6667
angles: 90.00 90.00 119.34
Element x y z (fractional)
Si  0.0000  0.0000  0.0000
Ag  0.5000  0.5000  0.2472
Ag  0.5000  0.5000  0.7528
Ru  0.0000  0.0000  0.5000

VASP calculation (PBE-GGA) on a geometry-optimized NaCdHgSe structure.

Results
**E**: -1.8434 eV/atom
**DOS at the Fermi energy**: 2.2 states/eV/cell
**Formation energy from raw total energies**: -338 meV/atom
**Crystal system**: cubic

abc: 5.1617 5.1617 5.1617
angles: 60.00 60.00 60.00
Element x y z (fractional)
Na  0.0000  0.0000  0.0000
Cd  0.5000  0.5000  0.5000
Hg  0.7500  0.7500  0.7500
Se  0.2500  0.2500  0.2500

VASP calculation (PBE-GGA) on a geometry-optimized Pa3Ge2Au4 structure.

Results
**E**: -6.0773 eV/atom
**DOS at the Fermi energy**: 11.8 states/eV/cell
**Crystal system**: monoclinic
**E_form**: -41.4 kJ per mole of atoms

abc: 5.7581 5.7581 8.7526
angles: 117.21 117.21 48.82
Element x y z (fractional)
Pa  0.0000  0.0000  0.0000
Pa  0.3357  0.3357  0.3302
Pa  0.6643  0.6643  0.6698
Ge  0.3885  0.3885  0.7209
Ge  0.6115  0.6115  0.2791
Au  0.0785  0.0785  0.4095
Au  0.2964  0.2964  0.9594
Au  0.7036  0.7036  0.0406
Au  0.9215  0.9215  0.5905

VASP calculation (PBE-GGA) on a geometry-optimized SmTc3 structure.

Results
**E**: -8.9220 eV/atom
**DOS at the Fermi energy**: 14.1 states/eV/cell
**Crystal system**: monoclinic
**E_form**: 3.1 kJ per mole of atoms

abc: 5.4743 5.4743 9.0585
angles: 104.95 104.95 59.26
Element x y z (fractional)
Sm  0.0000  0.0000  0.0000
Sm  0.1453  0.1453  0.4287
Sm  0.8547  0.8547  0.5713
Tc  0.0630  0.6045  0.2419
Tc  0.3539  0.3539  0.0131
Tc  0.3955  0.9370  0.7581
Tc  0.4166  0.4166  0.7447
Tc  0.5000  0.5000  0.5000
Tc  0.5834  0.5834  0.2553
Tc  0.6045  0.0630  0.2419
Tc  0.6461  0.6461  0.9869
Tc  0.9370  0.3955  0.7581

VASP calculation (PBE-GGA) on a geometry-optimized Rb3SbTe4 structure.

Results
**Relative energy among the computed polymorphs**: 0.000 eV/atom
**E**: -3.1277 eV/atom
**Formation energy from raw total energies**: -679 meV/atom
**Crystal system**: orthorhombic

abc: 10.5814 12.3692 11.4142
angles: 90.00 90.00 90.00
Element x y z (fractional)
Rb  0.0795  0.0470  0.1900
Rb  0.0795  0.4530  0.1900
Rb  0.1438  0.7500  0.4151
Rb  0.3562  0.2500  0.9151
Rb  0.4205  0.5470  0.6900
Rb  0.4205  0.9530  0.6900
Rb  0.5795  0.0470  0.3100
Rb  0.5795  0.4530  0.3100
Rb  0.6438  0.7500  0.0849
Rb  0.8562  0.2500  0.5849
Rb  0.9205  0.5470  0.8100
Rb  0.9205  0.9530  0.8100
Sb  0.2304  0.7500  0.9729
Sb  0.2696  0.2500  0.4729
Sb  0.7304  0.7500  0.5271
Sb  0.7696  0.2500  0.0271
Te  0.0092  0.7500  0.1049
Te  0.1297  0.0613  0.5224
Te  0.1297  0.4387  0.5224
Te  0.1619  0.7500  0.7404
Te  0.3381  0.2500  0.2404
Te  0.3703  0.5613  0.0224
Te  0.3703  0.9387  0.0224
Te  0.4908  0.2500  0.6049
Te  0.5092  0.7500  0.3951
Te  0.6297  0.0613  0.9776
Te  0.6297  0.4387  0.9776
Te  0.6619  0.7500  0.7596
Te  0.8381  0.2500  0.2596
Te  0.8703  0.5613  0.4776
Te  0.8703  0.9387  0.4776
Te  0.9908  0.2500  0.8951

VASP calculation (PBE-GGA) on a geometry-optimized SrWN4 structure.

Results
**E**: -7.8842 eV/atom
**DOS at the Fermi energy**: 3.5 states/eV/cell
**Formation energy from raw total energies**: 105 meV/atom
**Crystal system**: tetragonal

abc: 4.0495 4.0495 4.8710
angles: 90.00 90.00 90.00
Element x y z (fractional)
Sr  0.0000  0.0000  0.0000
W  0.5000  0.5000  0.5000
N  0.0000  0.5000  0.3583
N  0.0000  0.5000  0.6417
N  0.5000  0.0000  0.3583
N  0.5000  0.0000  0.6417